Below is an optimized crystal structure of KYCr2Cl8, with properties calculated at the PBE-GGA level.

Calculated values
SG: P-1
Crystal system: triclinic
Magnetization in Bohr magnetons per cell: 8.00
Formation energy (no corrections) in eV/atom: -1.51

abc: 6.4348 6.4593 8.8261
angles: 78.60 77.06 79.64
Fractional coordinates of all 12 atoms:
K 0.0000 0.0000 0.0000
Y 0.0000 0.0000 0.5000
Cr 0.4656 0.4683 0.2160
Cr 0.5344 0.5317 0.7840
Cl 0.2193 0.7777 0.7158
Cl 0.2496 0.3031 0.4479
Cl 0.2643 0.8192 0.2678
Cl 0.3092 0.3614 0.0074
Cl 0.6908 0.6386 0.9926
Cl 0.7357 0.1808 0.7322
Cl 0.7504 0.6969 0.5521
Cl 0.7807 0.2223 0.2842